[1]
# BaNi3S, optimized geometry, DFT GGA-PBE
data_BaNi3S
_chemical_formula_sum 'Ba1 Ni3 S1'
_space_group_name_H-M_alt 'P m -3 m'
_space_group_IT_number 221
_space_group_name_Hall '-P 4 2 3'
_cell_length_a 4.8811
_cell_length_b 4.8811
_cell_length_c 4.8811
_cell_angle_alpha 90.00
_cell_angle_beta 90.00
_cell_angle_gamma 90.00
loop_
_atom_site_label
_atom_site_fract_x
_atom_site_fract_y
_atom_site_fract_z
Ba1 0.0000 0.0000 0.0000
Ni1 0.0000 0.0000 0.5000
S1 0.5000 0.5000 0.5000
# Relative energy among the computed polymorphs ... 10.00 eV/f.u.
# Raw total energy ... -14.03 eV for the cell shown

***

[2]
# Ba3NiS, optimized geometry, DFT GGA-PBE
data_Ba3NiS
_chemical_formula_sum 'Ba3 Ni1 S1'
_space_group_name_H-M_alt 'P m -3 m'
_space_group_IT_number 221
_space_group_name_Hall '-P 4 2 3'
_cell_length_a 6.0253
_cell_length_b 6.0253
_cell_length_c 6.0253
_cell_angle_alpha 90.00
_cell_angle_beta 90.00
_cell_angle_gamma 90.00
loop_
_atom_site_label
_atom_site_fract_x
_atom_site_fract_y
_atom_site_fract_z
Ba1 0.0000 0.0000 0.5000
Ni1 0.5000 0.5000 0.5000
S1 0.0000 0.0000 0.0000
# Relative energy among the computed polymorphs ... 0.00 eV/f.u.
# Raw total energy ... -17.33 eV for the cell shown

***

[3]
# BaNiSb2S, optimized geometry, DFT GGA-PBE
data_BaNiSb2S
_chemical_formula_sum 'Ba1 Ni1 Sb2 S1'
_space_group_name_H-M_alt 'P 4/m m m'
_space_group_IT_number 123
_space_group_name_Hall '-P 4 2'
_cell_length_a 5.2331
_cell_length_b 5.2331
_cell_length_c 5.8062
_cell_angle_alpha 90.00
_cell_angle_beta 90.00
_cell_angle_gamma 90.00
loop_
_atom_site_label
_atom_site_fract_x
_atom_site_fract_y
_atom_site_fract_z
Ba1 0.0000 0.0000 0.0000
Ni1 0.5000 0.5000 0.0000
Sb1 0.0000 0.5000 0.5000
S1 0.0000 0.0000 0.5000
# Raw total energy ... -18.61 eV for the cell shown

***

[4]
# BaScNiS2, optimized geometry, DFT GGA-PBE
data_BaScNiS2
_chemical_formula_sum 'Ba1 Sc1 Ni1 S2'
_space_group_name_H-M_alt 'P 4/m m m'
_space_group_IT_number 123
_space_group_name_Hall '-P 4 2'
_cell_length_a 5.6435
_cell_length_b 5.6435
_cell_length_c 4.8517
_cell_angle_alpha 90.00
_cell_angle_beta 90.00
_cell_angle_gamma 90.00
loop_
_atom_site_label
_atom_site_fract_x
_atom_site_fract_y
_atom_site_fract_z
Ba1 0.0000 0.0000 0.0000
Sc1 0.5000 0.5000 0.5000
Ni1 0.0000 0.0000 0.5000
S1 0.0000 0.5000 0.0000
# Raw total energy ... -19.45 eV for the cell shown

***

no.,formation energy (no corrections) (eV/atom),magnetization (μB/cell)
1,1.87,0.1
2,-0.33,0.0
3,0.29,0.8
4,0.57,0.0